(1)
# LiCd2In, relaxed, DFT PBE-GGA
# - crystal system = trigonal
data_LiCd2In
_chemical_formula_sum 'Li1 Cd2 In1'
_symmetry_space_group_name_H-M 'P 1'
_symmetry_Int_Tables_number 1
_cell_length_a 10.032
_cell_length_b 10.032
_cell_length_c 10.032
_cell_angle_alpha 18.52
_cell_angle_beta 18.52
_cell_angle_gamma 18.52
loop_
_symmetry_equiv_pos_as_xyz
'x,y,z'
loop_
_atom_site_label
_atom_site_fract_x
_atom_site_fract_y
_atom_site_fract_z
_atom_site_occupancy
In1 0.250 0.250 0.250 1
Cd1 0.494 0.494 0.494 1
Cd2 0.006 0.006 0.006 1
Li1 0.750 0.750 0.750 1

---

(2)
# NiMoP2, relaxed, DFT PBE-GGA
# - crystal system = trigonal
data_NiMoP2
_chemical_formula_sum 'Ni1 Mo1 P2'
_symmetry_space_group_name_H-M 'P 1'
_symmetry_Int_Tables_number 1
_cell_length_a 7.294
_cell_length_b 7.294
_cell_length_c 7.294
_cell_angle_alpha 23.80
_cell_angle_beta 23.80
_cell_angle_gamma 23.80
loop_
_symmetry_equiv_pos_as_xyz
'x,y,z'
loop_
_atom_site_label
_atom_site_fract_x
_atom_site_fract_y
_atom_site_fract_z
_atom_site_occupancy
Ni1 0.738 0.738 0.738 1
P1 0.251 0.251 0.251 1
P2 0.006 0.006 0.006 1
Mo1 0.505 0.505 0.505 1

---

(3)
# Gd2LuMn, relaxed, DFT PBE-GGA
# - ΔE to the lowest computed polymorph (eV per atom) = 0.119
# - crystal system = trigonal
data_Gd2LuMn
_chemical_formula_sum 'Gd2 Lu1 Mn1'
_symmetry_space_group_name_H-M 'P 1'
_symmetry_Int_Tables_number 1
_cell_length_a 3.476
_cell_length_b 3.476
_cell_length_c 10.610
_cell_angle_alpha 80.57
_cell_angle_beta 80.57
_cell_angle_gamma 60.00
loop_
_symmetry_equiv_pos_as_xyz
'x,y,z'
loop_
_atom_site_label
_atom_site_fract_x
_atom_site_fract_y
_atom_site_fract_z
_atom_site_occupancy
Mn1 0.000 0.000 0.000 1
Gd1 0.740 0.740 0.781 1
Gd2 0.260 0.260 0.219 1
Lu1 0.500 0.500 0.500 1

---

(4)
# CeNd2Ho8, relaxed, DFT PBE-GGA
# - ΔE to the lowest computed polymorph (eV per atom) = 0.000
# - crystal system = monoclinic
data_CeNd2Ho8
_chemical_formula_sum 'Ce1 Nd2 Ho8'
_symmetry_space_group_name_H-M 'P 1'
_symmetry_Int_Tables_number 1
_cell_length_a 5.031
_cell_length_b 7.947
_cell_length_c 9.403
_cell_angle_alpha 104.66
_cell_angle_beta 105.52
_cell_angle_gamma 90.00
loop_
_symmetry_equiv_pos_as_xyz
'x,y,z'
loop_
_atom_site_label
_atom_site_fract_x
_atom_site_fract_y
_atom_site_fract_z
_atom_site_occupancy
Ho1 0.956 0.270 0.912 1
Ho2 0.044 0.730 0.088 1
Ho3 0.865 0.823 0.731 1
Ho4 0.589 0.453 0.179 1
Ho5 0.135 0.177 0.269 1
Ho6 0.680 0.907 0.359 1
Ho7 0.411 0.547 0.821 1
Ho8 0.320 0.093 0.641 1
Ce1 0.500 0.000 0.000 1
Nd1 0.772 0.363 0.543 1
Nd2 0.228 0.637 0.457 1

---

(5)
# Sr2TlPPd6, relaxed, DFT PBE-GGA
# - crystal system = orthorhombic
data_Sr2TlPPd6
_chemical_formula_sum 'Sr4 Tl2 P2 Pd12'
_symmetry_space_group_name_H-M 'P 1'
_symmetry_Int_Tables_number 1
_cell_length_a 5.792
_cell_length_b 8.274
_cell_length_c 9.035
_cell_angle_alpha 90.00
_cell_angle_beta 90.00
_cell_angle_gamma 90.00
loop_
_symmetry_equiv_pos_as_xyz
'x,y,z'
loop_
_atom_site_label
_atom_site_fract_x
_atom_site_fract_y
_atom_site_fract_z
_atom_site_occupancy
Tl1 0.500 0.297 0.000 1
Tl2 0.000 0.703 0.500 1
Pd1 0.000 0.895 0.755 1
Pd2 0.500 0.105 0.745 1
Pd3 0.237 0.998 0.500 1
Pd4 0.263 0.002 0.000 1
Pd5 0.763 0.998 0.500 1
Pd6 0.249 0.426 0.500 1
Pd7 0.749 0.574 0.000 1
Pd8 0.000 0.895 0.245 1
Pd9 0.737 0.002 0.000 1
Pd10 0.500 0.105 0.255 1
Pd11 0.751 0.426 0.500 1
Pd12 0.251 0.574 0.000 1
Sr1 0.500 0.725 0.731 1
Sr2 0.000 0.275 0.231 1
Sr3 0.000 0.275 0.769 1
Sr4 0.500 0.725 0.269 1
P1 0.500 0.211 0.500 1
P2 0.000 0.789 0.000 1

---

Listing energy of formation for the structures above in their given order: -105 -19 240 41 -587 meV/atom.